# BaV4Cd3O12

BaV4Cd3O12 after structural relaxation (PBE+U, Alexandria via LeMat-Bulk).

a b c (Å): 7.3243 7.3243 7.3243
angles (deg): 109.61 109.61 109.61
Positions (direct):
Ba1 0.0000 0.0000 0.0000
V1 0.0708 0.5000 0.9292
V2 0.5000 0.5000 0.5000
V3 0.5000 0.9292 0.0708
V4 0.9292 0.0708 0.5000
Cd1 0.0000 0.5634 0.4366
Cd2 0.4366 0.0000 0.5634
Cd3 0.5634 0.4366 0.0000
O1 0.0752 0.9248 0.5000
O2 0.1246 0.6715 0.7980
O3 0.2020 0.3285 0.8754
O4 0.3285 0.8754 0.2020
O5 0.3563 0.6437 0.5000
O6 0.5000 0.0752 0.9248
O7 0.5000 0.3563 0.6437
O8 0.6437 0.5000 0.3563
O9 0.6715 0.7980 0.1246
O10 0.7980 0.1246 0.6715
O11 0.8754 0.2020 0.3285
O12 0.9248 0.5000 0.0752

Results
* E: -6.282 eV/atom
* space group: R32